1.
CsSnN | the Alexandria database | PBE | relaxed; space group = P6_3mc, No. 186; raw formation energy = 0.14 eV per atom; E above lowest polymorph = 0.040 eV/atom; M_tot = 0.000 μB per cell
1.0
0.3758 3.4928 -0.7368
-0.6889 -1.0617 3.3589
13.1117 -0.9038 2.4034
Cs N Sn
2 2 2
direct
0.6667 0.3333 0.7505
0.3333 0.6667 0.2505
0.3333 0.6667 0.5854
0.6667 0.3333 0.0854
0.0000 0.0000 0.0087
0.0000 0.0000 0.5087


2.
CsSrN | the Alexandria database | PBE | relaxed; space group = Fmmm, No. 69; raw formation energy = -0.03 eV per atom; D(E_F) = 0.7369 states/eV per atom; M_tot = 0.000 μB per cell
1.0
8.1363 0.0441 0.0437
-3.6930 6.0890 -0.1312
4.4465 -0.6203 6.0987
Cs Sr N
2 2 2
direct
0.8598 0.6141 0.5812
0.3599 0.1141 0.0811
0.0623 0.3170 0.7838
0.6579 0.9114 0.3782
0.9181 0.0561 0.5230
0.8020 0.1723 0.6390